## AcSm3Sn3 (PBE-GGA)

Data for an optimized crystal structure of AcSm3Sn3.

Structure (CIF):
```
data_AcSm3Sn3
_space_group_name_H-M_alt 'P 63/m'
_space_group_IT_number 176
_space_group_name_Hall '-P 6c'
_cell_length_a 9.6313
_cell_length_b 9.6313
_cell_length_c 5.4672
_cell_angle_alpha 90.00
_cell_angle_beta 90.00
_cell_angle_gamma 120.00
loop_
_atom_site_label
_atom_site_fract_x
_atom_site_fract_y
_atom_site_fract_z
_atom_site_occupancy
Ac1 0.3333 0.6667 0.2500 1
Sm1 0.0046 0.2436 0.7500 1
Sn1 0.0709 0.6252 0.7500 1
```

For the calculated formation energy, the calculation gives -0.55 eV per atom. The mass density comes out at 7.82 g/cm³.